TcRuPtRh3 after structural relaxation, computed with PBE.

Computed properties:
Fermi-level density of states = 11.81 states/eV/cell
formation energy = -0.58 eV/f.u.

Cell: 3.846 6.124 7.720 Å, 90.00 90.00 108.30°
Fractional positions:
Pt 0.836 0.672 0.750
Ru 0.499 0.998 0.250
Rh 0.339 0.679 0.499
Rh 0.839 0.679 0.250
Rh 0.339 0.679 0.001
Rh 0.661 0.321 0.501
Rh 0.161 0.321 0.750
Pt 0.164 0.328 0.250
Rh 0.661 0.321 0.999
Tc 0.000 0.000 0.000
Tc 0.000 0.000 0.500
Ru 0.501 0.002 0.750